The following is a DFT calculation (PBE) of a geometry-optimized Ca2CuRu structure.

abc: 4.8270 4.8270 4.8270
angles: 60.00 60.00 60.00
Closest atoms and distances in Å follow each position.
Fractional coordinates of all 4 atoms:
Ca (0.0000, 0.0000, 0.0000)  4 Ca 2.96, 4 Cu 2.96
Ca (0.2500, 0.2500, 0.2500)  4 Ru 2.96, 4 Ca 2.96
Cu (0.7500, 0.7500, 0.7500)  4 Ru 2.96, 4 Ca 2.96
Ru (0.5000, 0.5000, 0.5000)  4 Cu 2.96, 4 Ca 2.96

Results
Space-group type: F-43m, No. 216
Final energy in eV per atom: -3.990